First-principles (GGA-PBE) data for crystalline Zr2CdOs2 at its relaxed geometry, as listed in Alexandria.

a = 7.726 Å, b = 7.726 Å, c = 3.234 Å
α = 90.00°, β = 90.00°, γ = 90.00°
Positions (direct):
1 Zr 0.155 0.345 0.000
2 Zr 0.345 0.845 0.000
3 Zr 0.655 0.155 0.000
4 Zr 0.845 0.655 0.000
5 Cd 0.000 0.000 0.500
6 Cd 0.500 0.500 0.500
7 Os 0.141 0.641 0.500
8 Os 0.359 0.141 0.500
9 Os 0.641 0.859 0.500
10 Os 0.859 0.359 0.500

The value obtained for the formation energy is -0.13 eV per atom. The space group is No. 127. Its total magnetic moment is 0.00 μB/f.u.